First-principles (GGA-PBE) data for an optimized crystal structure of LaTa2Hg, as listed in the Alexandria database.

```
LaTa2Hg
1.0
5.335 -1.555 0.000
5.335 1.555 0.000
-1.189 0.000 5.353
La Ta Hg
1 2 1
direct
0.000 0.000 0.000
0.234 0.234 0.720
0.766 0.766 0.280
0.500 0.500 0.500
```

Computed properties:
Final energy = -6.811 eV/atom
D(E_F) = 4.356 states/eV per cell
Space-group type = C2/m (12)